The following is a PBE-GGA calculation of CdTeAsO after structural relaxation, from the Open Quantum Materials Database.

Calculated values
ρ: 5.8 g/cm3
uncorrected energy: -3.4718 eV per atom
ΔE to the lowest computed polymorph: 180.7 meV per atom
calculated volume: 190.50 Å³/cell

Structure (CIF):
```
data_CdTeAsO
_cell_length_a 4.893
_cell_length_b 4.893
_cell_length_c 7.958
_cell_angle_alpha 90.00
_cell_angle_beta 90.00
_cell_angle_gamma 90.00
_symmetry_space_group_name_H-M 'P 1'
_symmetry_Int_Tables_number 1
_symmetry_space_group_name_Hall 'P 1'
loop_
_atom_site_label
_atom_site_fract_x
_atom_site_fract_y
_atom_site_fract_z
_atom_site_occupancy
As1 0.250 0.250 0.644 1
Cd1 0.250 0.250 0.005 1
Te1 0.750 0.250 0.500 1
Te2 0.250 0.750 0.500 1
Cd2 0.750 0.750 0.995 1
O1 0.250 0.750 0.000 1
O2 0.750 0.250 0.000 1
As2 0.750 0.750 0.356 1
```


The following is a PBE-GGA calculation of Re2Te2SeS after structural relaxation, from the Open Quantum Materials Database.

Calculated values
ρ: 8.6 g/cm3
uncorrected energy: -6.7552 eV per atom
ΔE to the lowest computed polymorph: 0.0 meV per atom
calculated volume: 286.24 Å³/cell

Structure (CIF):
```
data_Re2Te2SeS
_cell_length_a 6.826
_cell_length_b 7.036
_cell_length_c 7.109
_cell_angle_alpha 91.70
_cell_angle_beta 104.41
_cell_angle_gamma 118.47
_symmetry_space_group_name_H-M 'P 1'
_symmetry_Int_Tables_number 1
_symmetry_space_group_name_Hall 'P 1'
loop_
_atom_site_label
_atom_site_fract_x
_atom_site_fract_y
_atom_site_fract_z
_atom_site_occupancy
Re1 0.073 0.826 0.488 1
Re2 0.489 0.802 0.495 1
Se1 0.729 0.848 0.255 1
Re3 0.511 0.198 0.505 1
Te1 0.775 0.395 0.271 1
S1 0.732 0.103 0.756 1
Te2 0.225 0.605 0.729 1
Re4 0.927 0.174 0.512 1
S2 0.268 0.897 0.244 1
Te3 0.245 0.366 0.296 1
Se2 0.271 0.152 0.745 1
Te4 0.755 0.634 0.704 1
```


The following is a PBE-GGA calculation of Dy3CoNi8 after structural relaxation, from the Open Quantum Materials Database.

Calculated values
ρ: 9.9 g/cm3
uncorrected energy: -5.8338 eV per atom
energy relative to the elements: -4.6 eV per formula unit
calculated volume: 170.84 Å³/cell

Structure (CIF):
```
data_Dy3CoNi8
_cell_length_a 8.606
_cell_length_b 8.606
_cell_length_c 8.606
_cell_angle_alpha 33.28
_cell_angle_beta 33.28
_cell_angle_gamma 33.28
_symmetry_space_group_name_H-M 'P 1'
_symmetry_Int_Tables_number 1
_symmetry_space_group_name_Hall 'P 1'
loop_
_atom_site_label
_atom_site_fract_x
_atom_site_fract_y
_atom_site_fract_z
_atom_site_occupancy
Co1 0.500 0.500 0.500 1
Ni1 0.418 0.418 0.917 1
Dy1 0.861 0.861 0.861 1
Ni2 0.582 0.083 0.582 1
Dy2 0.000 0.000 0.000 1
Ni3 0.333 0.333 0.333 1
Ni4 0.083 0.582 0.582 1
Ni5 0.667 0.667 0.667 1
Ni6 0.418 0.917 0.418 1
Ni7 0.582 0.582 0.083 1
Ni8 0.917 0.418 0.418 1
Dy3 0.139 0.139 0.139 1
```